A plane-wave DFT calculation with GGA+U was carried out for an optimized crystal structure of ScVO2.

Cell: 3.8013 3.8013 3.8013 Å, 60.00 60.00 60.00°
Fractional coordinates of all 4 atoms:
Sc (0.0000, 0.0000, 0.0000)
V (0.5000, 0.5000, 0.5000)
O (0.7500, 0.7500, 0.7500)
O (0.2500, 0.2500, 0.2500)

## Properties
The value obtained for the relative energy among the computed polymorphs is 492 meV/atom. Its final energy is -7.649 eV/atom. As for the crystal system: cubic.